1.
## Tb3AuN6 (GGA-PBE)

Data for a relaxed Tb3AuN6 crystal.

The magnetic moment comes out at 0.6 μB per formula unit. The value obtained for the total energy is -7.266 eV/atom.

The space group is P-1 (No. 2) and the conventional cell measures 3.772, 5.743 and 6.543 Å, with angles of 99.57, 99.18 and 98.42 degrees. The inequivalent atoms are Tb at (0.000, 0.000, 0.000), Tb at (0.279, 0.499, 0.711), Au at (0.500, 0.000, 0.500), N at (0.205, 0.270, 0.355), N at (0.261, 0.739, 0.203) and N at (0.457, 0.750, 0.055).



2.
## TbTmNi8B2 (GGA-PBE)

Data for a relaxed TbTmNi8B2 crystal.

For the energy above the most stable polymorph in this dataset, the calculation gives 0 meV per atom. The magnetic moment comes out at 0.0 μB per formula unit.

The space group is P6/mmm (No. 191) and the conventional cell measures 4.9707, 4.9707 and 6.9572 Å, with angles of 90.00, 90.00 and 120.00 degrees. The inequivalent atoms are Tb at (0.0000, 0.0000, 0.0000), Tm at (0.0000, 0.0000, 0.5000), Ni at (0.0000, 0.5000, 0.2931), Ni at (0.3333, 0.6667, 0.0000) and B at (0.3333, 0.6667, 0.5000).



3.
## LuZrCoSi (GGA-PBE)

Data for a relaxed LuZrCoSi crystal.

For the energy above the most stable polymorph in this dataset, the calculation gives 0 meV per atom. The magnetic moment comes out at 1.9 μB per formula unit.

The space group is F-43m (No. 216) and the conventional cell measures 6.474, 6.474 and 6.474 Å, with angles of 90.00, 90.00 and 90.00 degrees. The inequivalent atoms are Lu at (0.000, 0.000, 0.000), Zr at (0.250, 0.250, 0.250), Co at (0.250, 0.250, 0.750) and Si at (0.000, 0.000, 0.500).